(1)
# CaSbN2 (SCAN, PBEsol geometry)
data_CaSbN2
_chemical_formula_sum 'Ca1 Sb1 N2'
_symmetry_space_group_name_H-M 'P 1'
_symmetry_Int_Tables_number 1
_symmetry_space_group_name_Hall 'P 1'
_cell_length_a 6.5649
_cell_length_b 6.5649
_cell_length_c 6.5649
_cell_angle_alpha 32.51
_cell_angle_beta 32.51
_cell_angle_gamma 32.51
loop_
_atom_site_label
_atom_site_fract_x
_atom_site_fract_y
_atom_site_fract_z
_atom_site_occupancy
Ca1 0.0000 0.0000 0.0000 1
Sb1 0.5000 0.5000 0.5000 1
N1 0.3967 0.3967 0.3967 1
N2 0.6033 0.6033 0.6033 1
# Calculated total energy in eV per atom: -16.245
# Total magnetic moment in μB/f.u.: 0.00
# Space group: R-3m, No. 166

(2)
# CaSb2N (SCAN, PBEsol geometry)
data_CaSb2N
_chemical_formula_sum 'Ca2 Sb4 N2'
_symmetry_space_group_name_H-M 'P 1'
_symmetry_Int_Tables_number 1
_symmetry_space_group_name_Hall 'P 1'
_cell_length_a 6.2518
_cell_length_b 6.2518
_cell_length_c 6.2518
_cell_angle_alpha 112.32
_cell_angle_beta 112.32
_cell_angle_gamma 103.92
loop_
_atom_site_label
_atom_site_fract_x
_atom_site_fract_y
_atom_site_fract_z
_atom_site_occupancy
Ca1 0.0000 0.0000 0.0000 1
Ca2 0.7500 0.2500 0.5000 1
Sb1 0.2333 0.6250 0.1083 1
Sb2 0.3750 0.4833 0.6083 1
Sb3 0.5167 0.1250 0.8917 1
Sb4 0.8750 0.7667 0.3917 1
N1 0.2500 0.7500 0.5000 1
N2 0.5000 0.5000 0.0000 1
# Calculated total energy in eV per atom: -23.234
# Total magnetic moment in μB/f.u.: 0.00
# Space group: I-42d, No. 122

(3)
# CaSbSeN2 (SCAN, PBEsol geometry)
data_CaSbSeN2
_chemical_formula_sum 'Ca1 Sb1 Se1 N2'
_symmetry_space_group_name_H-M 'P 1'
_symmetry_Int_Tables_number 1
_symmetry_space_group_name_Hall 'P 1'
_cell_length_a 4.0669
_cell_length_b 4.0669
_cell_length_c 5.4541
_cell_angle_alpha 90.00
_cell_angle_beta 90.00
_cell_angle_gamma 90.00
loop_
_atom_site_label
_atom_site_fract_x
_atom_site_fract_y
_atom_site_fract_z
_atom_site_occupancy
Ca1 0.0000 0.0000 0.0000 1
Sb1 0.5000 0.5000 0.5000 1
Se1 0.5000 0.5000 0.0000 1
N1 0.0000 0.5000 0.5000 1
N2 0.5000 0.0000 0.5000 1
# Calculated total energy in eV per atom: -16.922
# Total magnetic moment in μB/f.u.: 1.13
# Space group: P4/mmm, No. 123

(4)
# CaYSb2N (SCAN, PBEsol geometry)
data_CaYSb2N
_chemical_formula_sum 'Ca1 Y1 Sb2 N1'
_symmetry_space_group_name_H-M 'P 1'
_symmetry_Int_Tables_number 1
_symmetry_space_group_name_Hall 'P 1'
_cell_length_a 5.6256
_cell_length_b 5.6256
_cell_length_c 4.1446
_cell_angle_alpha 90.00
_cell_angle_beta 90.00
_cell_angle_gamma 90.00
loop_
_atom_site_label
_atom_site_fract_x
_atom_site_fract_y
_atom_site_fract_z
_atom_site_occupancy
Ca1 0.0000 0.0000 0.0000 1
Y1 0.5000 0.5000 0.5000 1
Sb1 0.0000 0.5000 0.0000 1
Sb2 0.5000 0.0000 0.0000 1
N1 0.0000 0.0000 0.5000 1
# Calculated total energy in eV per atom: -23.833
# Total magnetic moment in μB/f.u.: 1.72
# Space group: P4/mmm, No. 123

(5)
# Ca4SeN4 (SCAN, PBEsol geometry)
data_Ca4SeN4
_chemical_formula_sum 'Ca16 Se4 N16'
_symmetry_space_group_name_H-M 'P 1'
_symmetry_Int_Tables_number 1
_symmetry_space_group_name_Hall 'P 1'
_cell_length_a 12.7410
_cell_length_b 3.6064
_cell_length_c 13.2624
_cell_angle_alpha 90.00
_cell_angle_beta 90.00
_cell_angle_gamma 90.00
loop_
_atom_site_label
_atom_site_fract_x
_atom_site_fract_y
_atom_site_fract_z
_atom_site_occupancy
Ca1 0.0072 0.2500 0.1164 1
Ca2 0.0415 0.7500 0.3696 1
Ca3 0.2321 0.7500 0.9697 1
Ca4 0.2410 0.2500 0.7417 1
Ca5 0.2590 0.7500 0.2417 1
Ca6 0.2679 0.2500 0.4697 1
Ca7 0.4585 0.2500 0.8696 1
Ca8 0.4928 0.7500 0.6164 1
Ca9 0.5072 0.2500 0.3836 1
Ca10 0.5415 0.7500 0.1304 1
Ca11 0.7321 0.7500 0.5303 1
Ca12 0.7410 0.2500 0.7583 1
Ca13 0.7590 0.7500 0.2583 1
Ca14 0.7679 0.2500 0.0303 1
Ca15 0.9585 0.2500 0.6304 1
Ca16 0.9928 0.7500 0.8836 1
Se1 0.1342 0.7500 0.5877 1
Se2 0.3658 0.2500 0.0877 1
Se3 0.6342 0.7500 0.9123 1
Se4 0.8658 0.2500 0.4123 1
N1 0.0925 0.2500 0.9685 1
N2 0.1106 0.2500 0.2517 1
N3 0.1328 0.2500 0.8780 1
N4 0.1687 0.2500 0.3353 1
N5 0.3313 0.7500 0.8353 1
N6 0.3672 0.7500 0.3780 1
N7 0.3894 0.7500 0.7517 1
N8 0.4075 0.7500 0.4685 1
N9 0.5925 0.2500 0.5315 1
N10 0.6106 0.2500 0.2483 1
N11 0.6328 0.2500 0.6220 1
N12 0.6687 0.2500 0.1647 1
N13 0.8313 0.7500 0.6647 1
N14 0.8672 0.7500 0.1220 1
N15 0.8894 0.7500 0.7483 1
N16 0.9075 0.7500 0.0315 1
# Calculated total energy in eV per atom: -11.730
# Total magnetic moment in μB/f.u.: 0.00
# Space group: Pnma, No. 62

(6)
# CaTcSe2N (SCAN, PBEsol geometry)
data_CaTcSe2N
_chemical_formula_sum 'Ca1 Tc1 Se2 N1'
_symmetry_space_group_name_H-M 'P 1'
_symmetry_Int_Tables_number 1
_symmetry_space_group_name_Hall 'P 1'
_cell_length_a 5.3345
_cell_length_b 5.3345
_cell_length_c 4.2560
_cell_angle_alpha 90.00
_cell_angle_beta 90.00
_cell_angle_gamma 90.00
loop_
_atom_site_label
_atom_site_fract_x
_atom_site_fract_y
_atom_site_fract_z
_atom_site_occupancy
Ca1 0.0000 0.0000 0.0000 1
Tc1 0.5000 0.5000 0.5000 1
Se1 0.0000 0.5000 0.0000 1
Se2 0.5000 0.0000 0.0000 1
N1 0.0000 0.0000 0.5000 1
# Calculated total energy in eV per atom: -17.857
# Total magnetic moment in μB/f.u.: 6.93
# Space group: P4/mmm, No. 123

(7)
# CaTeSeN2 (SCAN, PBEsol geometry)
data_CaTeSeN2
_chemical_formula_sum 'Ca1 Te1 Se1 N2'
_symmetry_space_group_name_H-M 'P 1'
_symmetry_Int_Tables_number 1
_symmetry_space_group_name_Hall 'P 1'
_cell_length_a 4.4162
_cell_length_b 4.4162
_cell_length_c 6.3432
_cell_angle_alpha 90.00
_cell_angle_beta 90.00
_cell_angle_gamma 90.00
loop_
_atom_site_label
_atom_site_fract_x
_atom_site_fract_y
_atom_site_fract_z
_atom_site_occupancy
Ca1 0.0000 0.0000 0.0000 1
Te1 0.0000 0.0000 0.5000 1
Se1 0.5000 0.5000 0.5000 1
N1 0.0000 0.5000 0.0000 1
N2 0.5000 0.0000 0.0000 1
# Calculated total energy in eV per atom: -15.986
# Total magnetic moment in μB/f.u.: 4.83
# Space group: P4/mmm, No. 123

(8)
# CaZrSe2N (SCAN, PBEsol geometry)
data_CaZrSe2N
_chemical_formula_sum 'Ca1 Zr1 Se2 N1'
_symmetry_space_group_name_H-M 'P 1'
_symmetry_Int_Tables_number 1
_symmetry_space_group_name_Hall 'P 1'
_cell_length_a 5.2054
_cell_length_b 5.2054
_cell_length_c 4.1069
_cell_angle_alpha 90.00
_cell_angle_beta 90.00
_cell_angle_gamma 90.00
loop_
_atom_site_label
_atom_site_fract_x
_atom_site_fract_y
_atom_site_fract_z
_atom_site_occupancy
Ca1 0.0000 0.0000 0.0000 1
Zr1 0.5000 0.5000 0.5000 1
Se1 0.0000 0.5000 0.0000 1
Se2 0.5000 0.0000 0.0000 1
N1 0.0000 0.0000 0.5000 1
# Calculated total energy in eV per atom: -17.741
# Total magnetic moment in μB/f.u.: 1.00
# Space group: P4/mmm, No. 123

(9)
# CaSi2N (SCAN, PBEsol geometry)
data_CaSi2N
_chemical_formula_sum 'Ca2 Si4 N2'
_symmetry_space_group_name_H-M 'P 1'
_symmetry_Int_Tables_number 1
_symmetry_space_group_name_Hall 'P 1'
_cell_length_a 5.6220
_cell_length_b 5.6220
_cell_length_c 5.6220
_cell_angle_alpha 112.39
_cell_angle_beta 112.39
_cell_angle_gamma 103.77
loop_
_atom_site_label
_atom_site_fract_x
_atom_site_fract_y
_atom_site_fract_z
_atom_site_occupancy
Ca1 0.0000 0.0000 0.0000 1
Ca2 0.7500 0.2500 0.5000 1
Si1 0.2519 0.1250 0.6269 1
Si2 0.3750 0.7481 0.8731 1
Si3 0.4981 0.6250 0.3731 1
Si4 0.8750 0.5019 0.1269 1
N1 0.2500 0.7500 0.5000 1
N2 0.5000 0.5000 0.0000 1
# Calculated total energy in eV per atom: -9.596
# Total magnetic moment in μB/f.u.: 0.00
# Space group: I-42d, No. 122

(10)
# Ca2SiN (SCAN, PBEsol geometry)
data_Ca2SiN
_chemical_formula_sum 'Ca2 Si1 N1'
_symmetry_space_group_name_H-M 'P 1'
_symmetry_Int_Tables_number 1
_symmetry_space_group_name_Hall 'P 1'
_cell_length_a 4.7466
_cell_length_b 4.7466
_cell_length_c 4.7466
_cell_angle_alpha 60.00
_cell_angle_beta 60.00
_cell_angle_gamma 60.00
loop_
_atom_site_label
_atom_site_fract_x
_atom_site_fract_y
_atom_site_fract_z
_atom_site_occupancy
Ca1 0.2500 0.2500 0.2500 1
Ca2 0.7500 0.7500 0.7500 1
Si1 0.0000 0.0000 0.0000 1
N1 0.5000 0.5000 0.5000 1
# Calculated total energy in eV per atom: -9.407
# Total magnetic moment in μB/f.u.: 0.00
# Space group: Fm-3m, No. 225

(11)
# Ca3SiN (SCAN, PBEsol geometry)
data_Ca3SiN
_chemical_formula_sum 'Ca3 Si1 N1'
_symmetry_space_group_name_H-M 'P 1'
_symmetry_Int_Tables_number 1
_symmetry_space_group_name_Hall 'P 1'
_cell_length_a 4.7493
_cell_length_b 4.7493
_cell_length_c 4.7493
_cell_angle_alpha 90.00
_cell_angle_beta 90.00
_cell_angle_gamma 90.00
loop_
_atom_site_label
_atom_site_fract_x
_atom_site_fract_y
_atom_site_fract_z
_atom_site_occupancy
Ca1 0.0000 0.0000 0.5000 1
Ca2 0.0000 0.5000 0.0000 1
Ca3 0.5000 0.0000 0.0000 1
Si1 0.5000 0.5000 0.5000 1
N1 0.0000 0.0000 0.0000 1
# Calculated total energy in eV per atom: -10.401
# Total magnetic moment in μB/f.u.: 0.44
# Space group: Pm-3m, No. 221

(12)
# CaSnN (SCAN, PBEsol geometry)
data_CaSnN
_chemical_formula_sum 'Ca2 Sn2 N2'
_symmetry_space_group_name_H-M 'P 1'
_symmetry_Int_Tables_number 1
_symmetry_space_group_name_Hall 'P 1'
_cell_length_a 5.9168
_cell_length_b 3.4646
_cell_length_c 5.4260
_cell_angle_alpha 90.00
_cell_angle_beta 90.00
_cell_angle_gamma 90.00
loop_
_atom_site_label
_atom_site_fract_x
_atom_site_fract_y
_atom_site_fract_z
_atom_site_occupancy
Ca1 0.2500 0.0000 0.1881 1
Ca2 0.7500 0.0000 0.8119 1
Sn1 0.2500 0.5000 0.7117 1
Sn2 0.7500 0.5000 0.2883 1
N1 0.0000 0.5000 0.0000 1
N2 0.5000 0.5000 0.0000 1
# Calculated total energy in eV per atom: -18.916
# Total magnetic moment in μB/f.u.: 0.00
# Space group: Pmma, No. 51